No. 1
# Zr6Zn23Ge (PBEsol, relaxed)
data_Zr6Zn23Ge
_cell_length_a 12.2069
_cell_length_b 12.2069
_cell_length_c 12.2069
_cell_angle_alpha 90.00
_cell_angle_beta 90.00
_cell_angle_gamma 90.00
_space_group_name_H-M_alt 'F m -3 m'
_space_group_IT_number 225
_space_group_name_Hall '-F 4 2 3'
loop_
_atom_site_label
_atom_site_type_symbol
_atom_site_fract_x
_atom_site_fract_y
_atom_site_fract_z
_atom_site_occupancy
Zr1 Zr 0.0000 0.0000 0.2151 1
Zn1 Zn 0.0000 0.0000 0.5000 1
Zn2 Zn 0.0000 0.2500 0.2500 1
Zn3 Zn 0.1244 0.1244 0.3756 1
Zn4 Zn 0.1638 0.1638 0.1638 1
Ge1 Ge 0.0000 0.0000 0.0000 1
# * total DFT energy (no corrections): -3.515 eV/atom



No. 2
# ZrZnGe3 (PBEsol, relaxed)
data_ZrZnGe3
_cell_length_a 5.1291
_cell_length_b 5.1291
_cell_length_c 5.1291
_cell_angle_alpha 90.00
_cell_angle_beta 90.00
_cell_angle_gamma 90.00
_space_group_name_H-M_alt 'P m -3 m'
_space_group_IT_number 221
_space_group_name_Hall '-P 4 2 3'
loop_
_atom_site_label
_atom_site_type_symbol
_atom_site_fract_x
_atom_site_fract_y
_atom_site_fract_z
_atom_site_occupancy
Zr1 Zr 0.0000 0.0000 0.0000 1
Zn1 Zn 0.5000 0.5000 0.5000 1
Ge1 Ge 0.0000 0.0000 0.5000 1
# * total DFT energy (no corrections): -4.468 eV/atom



No. 3
# ZrGe (PBEsol, relaxed)
data_ZrGe
_cell_length_a 7.0224
_cell_length_b 3.8891
_cell_length_c 5.3634
_cell_angle_alpha 90.00
_cell_angle_beta 90.00
_cell_angle_gamma 90.00
_space_group_name_H-M_alt 'P n m a'
_space_group_IT_number 62
_space_group_name_Hall '-P 2ac 2n'
loop_
_atom_site_label
_atom_site_type_symbol
_atom_site_fract_x
_atom_site_fract_y
_atom_site_fract_z
_atom_site_occupancy
Zr1 Zr 0.1771 0.2500 0.1314 1
Ge1 Ge 0.0471 0.2500 0.6527 1
# * total DFT energy (no corrections): -7.910 eV/atom



These records have ΔH_f (0 K) values of -0.3193, 0.6300, -0.8953 eV per atom, in the order they appear.
These records have N(E_F) values of 6.34, 3.90, 0.37 states/eV/f.u., in the order they appear.